{"formula": "ThCrSe3", "functional": "PBE", "state": "optimized geometry", "raw_formation_energy_kj_per_mol_fu": -576, "lattice_angstrom": [[7.7526, 0.0000, 0.0000], [0.0000, 9.3618, 0.0000], [0.0000, 0.0000, 6.5366]], "species": ["Th", "Th", "Th", "Th", "Cr", "Cr", "Cr", "Cr", "Se", "Se", "Se", "Se", "Se", "Se", "Se", "Se", "Se", "Se", "Se", "Se"], "fractional_positions": [[0.1232, 0.2500, 0.0562], [0.3768, 0.7500, 0.5562], [0.6232, 0.2500, 0.4438], [0.8768, 0.7500, 0.9438], [0.0000, 0.0000, 0.5000], [0.0000, 0.5000, 0.5000], [0.5000, 0.0000, 0.0000], [0.5000, 0.5000, 0.0000], [0.0398, 0.7500, 0.3563], [0.1704, 0.5563, 0.8315], [0.1704, 0.9437, 0.8315], [0.3296, 0.0563, 0.3315], [0.3296, 0.4437, 0.3315], [0.4602, 0.2500, 0.8563], [0.5398, 0.7500, 0.1437], [0.6704, 0.5563, 0.6685], [0.6704, 0.9437, 0.6685], [0.8296, 0.0563, 0.1685], [0.8296, 0.4437, 0.1685], [0.9602, 0.2500, 0.6437]]}